Material: Na4Ni7P6O24
Method: DFT, meta-GGA SCAN
State: single point on PBEsol structure

Summary:
- SG = Cm
- energy relative to the elements, uncorrected (eV/f.u.) = -87.622

Cell: 6.3979 8.7030 8.7030 Å, 105.52 98.96 98.96°
Last column: nearest neighbours and their distance in Å.
Positions (direct):
Na1 0.4734 0.9260 0.9260  6 O 2.47-2.57
Na2 0.5424 0.2782 0.2782  5 O 2.40-2.59
Na3 0.5377 0.4889 0.7360  4 O 2.33-2.57
Na4 0.5377 0.7360 0.4889  4 O 2.33-2.57
Ni1 0.8193 0.9811 0.3582  6 O 1.99-2.14
Ni2 0.8193 0.3582 0.9811  6 O 1.99-2.14
Ni3 0.1800 0.6384 0.0258  6 O 2.00-2.11
Ni4 0.1800 0.0258 0.6384  6 O 2.00-2.11
Ni5 0.0017 0.6254 0.3772  4 O 2.00-2.06
Ni6 0.0017 0.3772 0.6254  4 O 2.00-2.06
Ni7 0.9982 0.0003 0.0003  6 O 1.99-2.11
P1 0.9653 0.6919 0.6919  4 O 1.52-1.57
P2 0.0434 0.3134 0.3134  4 O 1.52-1.57
P3 0.2790 0.9059 0.2831  4 O 1.52-1.59
P4 0.2790 0.2831 0.9059  4 O 1.52-1.59
P5 0.7177 0.7156 0.1005  4 O 1.53-1.58
P6 0.7177 0.1005 0.7156  4 O 1.53-1.58
O1 0.7966 0.5539 0.5539  1 P 1.57
O2 0.2017 0.4541 0.4541  1 P 1.57
O3 0.8479 0.8004 0.8004  1 P 1.52
O4 0.1544 0.2025 0.2025  1 P 1.52
O5 0.8909 0.4005 0.2217  1 P 1.57
O6 0.8909 0.2217 0.4005  1 P 1.57
O7 0.1111 0.7838 0.6020  1 P 1.57
O8 0.1111 0.6020 0.7838  1 P 1.57
O9 0.4869 0.6608 0.9999  1 P 1.53
O10 0.4869 0.9999 0.6608  1 P 1.53
O11 0.5114 0.0007 0.3387  1 P 1.52
O12 0.5114 0.3387 0.0007  1 P 1.52
O13 0.8570 0.6030 0.0147  1 P 1.55
O14 0.8570 0.0147 0.6030  1 P 1.55
O15 0.1375 0.9891 0.3945  1 P 1.54
O16 0.1375 0.3945 0.9891  1 P 1.54
O17 0.7897 0.9012 0.1133  1 P 1.58
O18 0.2477 0.2833 0.7213  1 P 1.59
O19 0.2477 0.7213 0.2833  1 P 1.59
O20 0.7509 0.2853 0.7202  1 P 1.58
O21 0.7509 0.7202 0.2853  1 P 1.58
O22 0.2068 0.0962 0.8863  1 P 1.58
O23 0.2068 0.8863 0.0962  1 P 1.58
O24 0.7897 0.1133 0.9012  1 P 1.58